Record 1
A plane-wave DFT calculation with PBE was carried out for a relaxed Sr2Li3Sb4Au crystal.

Output
The uncorrected formation energy is -0.7019 eV/atom. Its crystal system is tetragonal. The density of states at the Fermi level is 0.382 states/eV/atom. The space group is P-4m2 (115).

abc: 4.598 4.598 11.859
angles: 90.00 90.00 90.00
Fractional positions:
Au 0.500 0.500 0.500
Sb 0.500 0.500 0.000
Sr 0.500 0.000 0.264
Li 0.000 0.500 0.137
Li 0.500 0.000 0.863
Sr 0.000 0.500 0.736
Li 0.000 0.000 0.500
Sb 0.500 0.000 0.640
Sb 0.000 0.500 0.360
Sb 0.000 0.000 0.000


Record 2
A plane-wave DFT calculation with PBE was carried out for a relaxed Li12Mg7Cd crystal.

Output
The calculation puts the formation enthalpy at 0 K at -0.0112 eV/atom. Its crystal system is trigonal. The density of states at the Fermi level is 0.448 states/eV/atom. The value obtained for the offset from the most stable computed form is 0 meV per atom. The space group is R-3 (148).

abc: 7.453 7.453 7.453
angles: 92.62 92.62 92.62
Fractional positions:
Mg 0.500 0.500 0.500
Mg 0.848 0.614 0.939
Mg 0.386 0.061 0.152
Li 0.872 0.256 0.740
Li 0.260 0.128 0.744
Mg 0.939 0.848 0.614
Li 0.740 0.872 0.256
Mg 0.061 0.152 0.386
Li 0.142 0.490 0.624
Cd 0.000 0.000 0.000
Li 0.256 0.740 0.872
Li 0.858 0.510 0.376
Li 0.128 0.744 0.260
Li 0.624 0.142 0.490
Li 0.490 0.624 0.142
Mg 0.614 0.939 0.848
Li 0.510 0.376 0.858
Mg 0.152 0.386 0.061
Li 0.376 0.858 0.510
Li 0.744 0.260 0.128


Record 3
A plane-wave DFT calculation with PBE was carried out for a relaxed Zr2Ta crystal.

Output
The calculation puts the formation enthalpy at 0 K at 0.2217 eV/atom. Its crystal system is tetragonal. The density of states at the Fermi level is 1.083 states/eV/atom. The space group is I4_1/amd (141).

abc: 14.924 14.924 14.924
angles: 168.47 168.47 16.33
Fractional positions:
Zr 0.425 0.425 0.000
Zr 0.325 0.825 0.500
Ta 0.750 0.250 0.500
Zr 0.575 0.575 0.000
Ta 0.000 0.000 0.000
Zr 0.175 0.675 0.500


Record 4
A plane-wave DFT calculation with PBE was carried out for a relaxed TaSb2PtI crystal.

Output
The uncorrected formation energy is 1.1115 eV/atom. Its crystal system is tetragonal. The density of states at the Fermi level is 1.180 states/eV/atom. The value obtained for the offset from the most stable computed form is 177 meV per atom. The space group is P4/mmm (123).

abc: 5.180 5.180 5.355
angles: 90.00 90.00 90.00
Each line ends with the local moment (μB).
Fractional positions:
Sb 0.500 0.000 0.000  -0.10
Sb 0.000 0.500 0.000  -0.10
I 0.000 0.000 0.500  -0.08
Ta 0.500 0.500 0.500  1.55
Pt 0.000 0.000 0.000  -0.07